DFT (SCAN) results for NaFe2O4 at its PBEsol-relaxed geometry.

Cell: 5.5328 11.2387 4.7937 Å, 90.00 90.00 90.00°
Last column: nearest neighbours and their distance in Å.
Sites, in units of the cell vectors:
Na 0.2500 0.2500 0.0334  6 O 2.32-2.45
Na 0.2500 0.7500 0.3560  6 O 2.32-2.44
Na 0.7500 0.2500 0.6440  6 O 2.32-2.44
Na 0.7500 0.7500 0.9666  6 O 2.32-2.45
Fe 0.0000 0.0000 0.5000  6 O 1.88-1.90
Fe 0.0000 0.5000 0.5000  6 O 1.88-1.90
Fe 0.2500 0.5034 0.9968  6 O 1.87-1.91
Fe 0.2500 0.9966 0.9968  6 O 1.87-1.91
Fe 0.5000 0.0000 0.5000  6 O 1.88-1.90
Fe 0.5000 0.5000 0.5000  6 O 1.88-1.90
Fe 0.7500 0.0034 0.0032  6 O 1.87-1.91
Fe 0.7500 0.4966 0.0032  6 O 1.87-1.91
O 0.0014 0.0911 0.8333  3 Fe 1.89-1.91
O 0.0014 0.4089 0.8333  3 Fe 1.89-1.91
O 0.2500 0.0873 0.3299  3 Fe 1.88-1.89
O 0.2500 0.4127 0.3299  3 Fe 1.88-1.89
O 0.2500 0.5908 0.6639  3 Fe 1.87-1.89
O 0.2500 0.9092 0.6639  3 Fe 1.87-1.89
O 0.4986 0.0911 0.8333  3 Fe 1.89-1.91
O 0.4986 0.4089 0.8333  3 Fe 1.89-1.91
O 0.5014 0.5911 0.1667  3 Fe 1.89-1.91
O 0.5014 0.9089 0.1667  3 Fe 1.89-1.91
O 0.7500 0.0908 0.3361  3 Fe 1.87-1.89
O 0.7500 0.4092 0.3361  3 Fe 1.87-1.89
O 0.7500 0.5873 0.6701  3 Fe 1.88-1.89
O 0.7500 0.9127 0.6701  3 Fe 1.88-1.89
O 0.9986 0.5911 0.1667  3 Fe 1.89-1.91
O 0.9986 0.9089 0.1667  3 Fe 1.89-1.91

Uncorrected energy in eV/atom: -11.03
D(E_F) in states/eV per cell: 10.511
Energy above the lowest structure with this stoichiometry in meV per atom: 0
Space-group type: Pmmn
Crystal system: orthorhombic
E_form (uncorrected) in meV per atom: -1689.7